# TlCdSiF6 | Alexandria | PBE | optimized geometry
data_TlCdSiF6
_chemical_formula_sum 'Tl1 Cd1 Si1 F6'
_cell_length_a 5.223
_cell_length_b 5.700
_cell_length_c 5.771
_cell_angle_alpha 60.51
_cell_angle_beta 89.96
_cell_angle_gamma 89.73
_symmetry_space_group_name_H-M 'P 1'
_symmetry_Int_Tables_number 1
loop_
_symmetry_equiv_pos_as_xyz
'x,y,z'
loop_
_atom_site_label
_atom_site_fract_x
_atom_site_fract_y
_atom_site_fract_z
_atom_site_occupancy
Tl1 0.000 0.000 0.000 1
Cd1 0.539 0.332 0.333 1
Si1 0.393 0.671 0.656 1
F1 0.197 0.523 0.523 1
F2 0.198 0.953 0.525 1
F3 0.216 0.526 0.947 1
F4 0.566 0.816 0.364 1
F5 0.586 0.390 0.785 1
F6 0.587 0.819 0.787 1
# Volume ... 149.5 Å³/f.u.
# Formation energy (no corrections) ... -2.448 eV per atom
# M_tot ... 0.9 μB/f.u.